[1]
Below is a relaxed structure of KCoAu2, with properties calculated at the PBE level.

Cell and atoms, written as POSCAR:
```
KCoAu2
1.0
9.759 -0.075 -0.044
9.298 2.965 -0.044
9.298 1.410 2.608
Au Co K
2 1 1
direct
0.985 0.985 0.985
0.515 0.515 0.515
0.250 0.250 0.250
0.750 0.750 0.750
```

DFT formation energy in meV/atom: 421.3
D(E_F) in states/eV/f.u.: 4.697
Total magnetic moment in μB per formula unit: 1.8


[2]
Below is a relaxed structure of TlCdPd5, with properties calculated at the PBE level.

Cell and atoms, written as POSCAR:
```
TlCdPd5
1.0
7.544 0.000 0.000
0.000 5.281 0.000
-3.772 -2.641 3.466
Pd Cd Tl
5 1 1
direct
0.848 0.189 0.377
0.314 0.246 0.000
0.471 0.811 0.623
0.972 0.500 0.000
0.314 0.754 0.000
0.986 0.000 0.000
0.627 0.500 0.000
```

DFT formation energy in meV/atom: 108.7
D(E_F) in states/eV/f.u.: 7.057
Total magnetic moment in μB per formula unit: 0.0


[3]
Below is a relaxed structure of LaTbTh2, with properties calculated at the PBE level.

Cell and atoms, written as POSCAR:
```
LaTbTh2
1.0
5.729 0.000 0.000
2.864 4.961 0.000
2.864 1.654 4.678
Th Tb La
2 1 1
direct
0.250 0.250 0.250
0.750 0.750 0.750
0.000 0.000 0.000
0.500 0.500 0.500
```

DFT formation energy in meV/atom: 214.0
D(E_F) in states/eV/f.u.: 9.934
Total magnetic moment in μB per formula unit: 0.0


[4]
Below is a relaxed structure of ScSbH2, with properties calculated at the PBE level.

Cell and atoms, written as POSCAR:
```
ScSbH2
1.0
0.000 2.970 2.970
2.970 0.000 2.970
2.970 2.970 0.000
Sc Sb H
1 1 2
direct
0.000 0.000 0.000
0.500 0.500 0.500
0.250 0.250 0.250
0.750 0.750 0.750
```

D(E_F) in states/eV/f.u.: 0.488
Total magnetic moment in μB per formula unit: 0.0


| no. | offset from the most stable computed form (meV per atom) | total energy (Ry/atom) |
| --- | --- | --- |
| 1 | 230 | -0.240 |
| 2 | 262 | -0.299 |
| 3 | 187 | -0.433 |
| 4 | 578 | -0.306 |